This record from Alexandria describes an optimized crystal structure of LaMoOF2. The functional is GGA+U.

The calculation puts the final energy at -5.954 eV/atom. The energy above the most stable polymorph in this dataset is 0 meV/atom. Its volume is 79.8 Å³ per cell.

The structure belongs to space group P4/mmm (No. 123); the cell edges are 4.3411, 4.3411 and 4.2325 Å and the angles 90.00°, 90.00° and 90.00°. The inequivalent atoms are La at (0.0000, 0.0000, 0.0000), Mo at (0.5000, 0.5000, 0.5000), O at (0.5000, 0.5000, 0.0000) and F at (0.0000, 0.5000, 0.5000).